Density functional theory data (PBE) for a relaxed structure of MgRhCl.

```
MgRhCl
1.0
14.229 0.000 0.000
0.000 3.116 0.000
0.000 0.000 5.398
Mg Rh Cl
4 4 4
Cartesian
0.000 0.000 0.000
0.000 1.558 2.699
7.115 0.000 1.172
7.115 1.558 3.871
2.028 0.000 1.804
2.028 1.558 4.503
12.202 0.000 1.804
12.202 1.558 4.503
5.497 0.000 4.772
5.497 1.558 2.073
8.733 0.000 4.772
8.733 1.558 2.073
```

Values from the calculation:
The calculation puts the formation energy without anion corrections at -0.338 eV/atom. Its energy relative to the lowest polymorph listed for this composition is 371 meV/atom. The calculation puts the total moment at 2.32 μB per cell.

Density functional theory data (PBE) for a relaxed structure of KBaMg2N.

```
KBaMg2N
1.0
4.609 0.000 0.000
0.000 4.609 0.000
0.000 0.000 6.012
K Ba Mg N
1 1 2 1
Cartesian
0.000 0.000 0.000
2.304 2.304 0.000
0.000 2.304 3.006
2.304 0.000 3.006
0.000 0.000 3.006
```

Values from the calculation:
The calculation puts the formation energy without anion corrections at 0.302 eV/atom. The calculation puts the total moment at 0.00 μB per cell.

Density functional theory data (PBE) for a relaxed structure of KTlFeSe2.

```
KTlFeSe2
1.0
5.797 0.000 0.000
0.000 5.797 0.000
0.000 0.000 5.712
K Tl Fe Se
1 1 1 2
Cartesian
0.000 0.000 0.000
0.000 0.000 2.856
2.898 2.898 2.856
0.000 2.898 0.000
2.898 0.000 0.000
```

Values from the calculation:
The calculation puts the formation energy without anion corrections at 1.078 eV/atom. The calculation puts the total moment at 2.68 μB per cell.

Density functional theory data (PBE) for a relaxed structure of SmFe12.

```
SmFe12
1.0
-4.249 4.249 2.337
4.249 -4.249 2.337
4.249 4.249 -2.337
Sm Fe
1 12
Cartesian
0.000 0.000 0.000
2.125 2.125 -1.169
3.051 0.000 0.000
2.125 -2.125 1.169
5.448 0.000 0.000
4.249 2.292 0.000
0.000 3.051 0.000
-2.125 2.125 1.169
2.292 4.249 0.000
2.125 2.125 1.169
1.957 0.000 2.337
0.000 5.448 0.000
0.000 1.957 2.337
```

Values from the calculation:
Its energy relative to the lowest polymorph listed for this composition is 0 meV/atom. The energy relative to the elements is 0.02 eV per atom. The calculation puts the total moment at 26.12 μB per cell.

Density functional theory data (PBE) for a relaxed structure of BTe2F.

```
BTe2F
1.0
3.449 0.000 0.000
-1.724 2.987 0.000
0.000 0.000 23.070
B Te F
3 6 3
Cartesian
0.000 0.000 0.000
0.000 1.991 15.380
1.724 0.996 7.690
0.000 0.000 9.199
0.000 0.000 13.872
0.000 1.991 1.509
0.000 1.991 6.182
1.724 0.996 16.889
1.724 0.996 21.562
0.000 0.000 11.535
0.000 1.991 3.845
1.724 0.996 19.225
```

Values from the calculation:
The calculation puts the formation energy without anion corrections at 0.073 eV/atom. Its energy relative to the lowest polymorph listed for this composition is 83 meV/atom. The calculation puts the total moment at 0.00 μB per cell.

Density functional theory data (PBE) for a relaxed structure of KNbO3.

```
KNbO3
1.0
7.205 0.000 0.000
-3.603 6.240 0.000
0.000 0.000 9.730
K Nb O
3 3 9
Cartesian
0.000 0.000 0.000
0.000 4.160 6.487
3.603 2.080 3.243
0.000 0.000 6.367
0.000 4.160 3.123
3.603 2.080 9.610
-1.425 3.337 3.874
0.000 1.646 7.117
-2.177 5.417 7.117
2.177 1.257 0.631
1.425 3.337 3.874
0.000 5.806 3.874
2.177 5.417 7.117
5.028 1.257 0.631
3.603 3.726 0.631
```

Values from the calculation:
The calculation puts the formation energy without anion corrections at -1.812 eV/atom. The calculation puts the total moment at 0.00 μB per cell.

Density functional theory data (PBE) for a relaxed structure of TbPm6Pr2Ho.

```
TbPm6Pr2Ho
1.0
4.598 -7.674 0.000
4.598 7.674 0.000
-1.524 0.000 9.770
Tb Pm Pr Ho
2 12 4 2
Cartesian
3.455 7.398 7.328
4.217 -7.398 2.443
1.677 4.281 6.733
3.923 4.802 0.546
4.510 4.802 4.340
2.310 1.602 8.598
5.232 4.281 7.922
4.600 1.602 6.057
3.072 -1.602 3.713
2.439 -4.281 1.848
5.362 -1.602 1.172
3.161 -4.802 5.431
3.748 -4.802 9.225
5.994 -4.281 3.037
1.427 0.776 5.292
2.189 -0.776 0.406
5.483 0.776 9.364
6.244 -0.776 4.479
4.217 1.421 2.443
3.455 -1.421 7.328
```

Values from the calculation:
The energy relative to the elements is 0.11 eV per atom. The calculation puts the total moment at 0.00 μB per cell.

Density functional theory data (PBE) for a relaxed structure of Sb2Pb.

```
Sb2Pb
1.0
3.981 0.000 0.000
0.000 3.981 0.000
0.000 0.000 11.251
Sb Pb
4 2
Cartesian
0.000 0.000 2.127
0.000 0.000 9.124
1.990 1.990 3.498
1.990 1.990 7.752
0.000 0.000 5.625
1.990 1.990 0.000
```

Values from the calculation:
The calculation puts the formation energy without anion corrections at 0.095 eV/atom. Its energy relative to the lowest polymorph listed for this composition is 27 meV/atom. The calculation puts the total moment at 0.00 μB per cell.